No. 1
First-principles (PBE) data for ErNiBIr after structural relaxation, as listed in Alexandria.

Values from the calculation:
DOS at the Fermi energy: 2.74 states/eV per cell
Total energy: -27.8 eV per formula unit
Formation energy: -482 meV/atom
Volume: 60.2 Å³/f.u.
ρ: 11.8 g cm⁻³

a b c (Å): 3.777 3.650 5.095
angles (deg): 110.99 111.76 90.00
Sites, in units of the cell vectors:
B (0.210, 0.710, 0.420)
Ir (0.320, 0.320, 0.641)
Ni (0.618, 0.618, 0.236)
Er (0.967, 0.967, 0.934)

=====

No. 2
First-principles (PBE) data for ErNiBIr2 after structural relaxation, as listed in Alexandria.

Values from the calculation:
DOS at the Fermi energy: 0.90 states/eV per cell
Total energy: -38.0 eV per formula unit
Formation energy: -657 meV/atom
Volume: 71.4 Å³/f.u.
ρ: 14.4 g cm⁻³

a b c (Å): 4.062 4.194 4.194
angles (deg): 90.00 90.00 90.00
Sites, in units of the cell vectors:
Ni (0.500, 0.000, 0.000)
Er (0.500, 0.500, 0.500)
Ir (0.000, 0.000, 0.500)
B (0.000, 0.000, 0.000)
Ir (0.000, 0.500, 0.000)

=====

No. 3
First-principles (PBE) data for Er2NiB2Ir5 after structural relaxation, as listed in Alexandria.

Values from the calculation:
DOS at the Fermi energy: 17.11 states/eV per cell
Total energy: -78.6 eV per formula unit
Formation energy: -599 meV/atom
Volume: 141.7 Å³/f.u.
ρ: 16.1 g cm⁻³

a b c (Å): 3.160 9.470 9.470
angles (deg): 90.00 90.00 90.00
Sites, in units of the cell vectors:
Er (0.000, 0.823, 0.677)
B (0.000, 0.124, 0.624)
Ni (0.000, 0.000, 0.000)
Ir (0.500, 0.217, 0.068)
Er (0.000, 0.177, 0.323)
Ir (0.500, 0.432, 0.283)
B (0.000, 0.624, 0.876)
Er (0.000, 0.677, 0.177)
Ir (0.500, 0.283, 0.568)
Er (0.000, 0.323, 0.823)
Ir (0.500, 0.568, 0.717)
Ir (0.500, 0.500, 0.000)
Ir (0.500, 0.000, 0.500)
B (0.000, 0.876, 0.376)
Ir (0.500, 0.717, 0.432)
Ir (0.500, 0.783, 0.932)
B (0.000, 0.376, 0.124)
Ir (0.500, 0.932, 0.217)
Ir (0.500, 0.068, 0.783)
Ni (0.000, 0.500, 0.500)

=====

No. 4
First-principles (PBE) data for ErB4Ir2Os after structural relaxation, as listed in Alexandria.

Values from the calculation:
DOS at the Fermi energy: 2.38 states/eV per cell
Total energy: -61.4 eV per formula unit
Formation energy: -152 meV/atom
Volume: 95.3 Å³/f.u.
ρ: 13.7 g cm⁻³

a b c (Å): 3.690 3.690 8.360
angles (deg): 77.25 77.25 60.00
Sites, in units of the cell vectors:
B (0.126, 0.126, 0.621)
Os (0.500, 0.500, 0.500)
B (0.874, 0.874, 0.379)
B (0.405, 0.405, 0.786)
Ir (0.758, 0.758, 0.725)
Ir (0.242, 0.242, 0.275)
Er (0.000, 0.000, 0.000)
B (0.595, 0.595, 0.214)

=====

No. 5
First-principles (PBE) data for ErB4Ir2Rh2 after structural relaxation, as listed in Alexandria.

Values from the calculation:
DOS at the Fermi energy: 7.55 states/eV per cell
Total energy: -68.7 eV per formula unit
Formation energy: -556 meV/atom
Volume: 107.2 Å³/f.u.
ρ: 12.4 g cm⁻³

a b c (Å): 5.364 5.364 7.452
angles (deg): 90.00 90.00 90.00
Sites, in units of the cell vectors:
B (0.500, 0.329, 0.902)
B (0.170, 0.000, 0.600)
B (0.000, 0.830, 0.100)
B (0.329, 0.500, 0.402)
Rh (0.749, 0.000, 0.895)
Er (0.500, 0.000, 0.247)
B (0.671, 0.500, 0.402)
Ir (0.500, 0.248, 0.604)
B (0.000, 0.170, 0.100)
Ir (0.248, 0.500, 0.104)
Rh (0.251, 0.000, 0.895)
Ir (0.752, 0.500, 0.104)
Er (0.000, 0.500, 0.747)
Rh (0.000, 0.251, 0.395)
B (0.830, 0.000, 0.600)
B (0.500, 0.671, 0.902)
Ir (0.500, 0.752, 0.604)
Rh (0.000, 0.749, 0.395)

=====

No. 6
First-principles (PBE) data for Er3BIr3Rh2 after structural relaxation, as listed in Alexandria.

Values from the calculation:
DOS at the Fermi energy: 6.66 states/eV per cell
Total energy: -68.0 eV per formula unit
Formation energy: -710 meV/atom
Volume: 150.6 Å³/f.u.
ρ: 14.3 g cm⁻³

a b c (Å): 3.313 7.244 7.244
angles (deg): 120.00 90.00 90.00
Sites, in units of the cell vectors:
Ir (0.500, 0.778, 0.000)
Rh (0.500, 0.667, 0.333)
Er (0.000, 0.000, 0.393)
Ir (0.500, 0.000, 0.778)
B (0.000, 0.000, 0.000)
Er (0.000, 0.607, 0.607)
Er (0.000, 0.393, 0.000)
Ir (0.500, 0.222, 0.222)
Rh (0.500, 0.333, 0.667)